Entry 1
First-principles (PBE-GGA) data for an optimized crystal structure of CuSnOF2, as listed in the Alexandria database.

Cell lengths 4.0297, 4.0297, 3.9933 Å; angles 90.00, 90.00, 90.00 degrees
Fractional coordinates of all 5 atoms:
F  0.0000  0.5000  0.0000
Sn  0.5000  0.5000  0.5000
F  0.5000  0.0000  0.0000
Cu  0.0000  0.0000  0.0000
O  0.0000  0.0000  0.5000

ρ: 6.05 g/cm3
symmetry: P4/mmm, No. 123



Entry 2
First-principles (PBE-GGA) data for an optimized crystal structure of CuSnOF2, as listed in the Alexandria database.

Cell lengths 4.3670, 4.3670, 4.0701 Å; angles 90.00, 90.00, 90.00 degrees
Fractional coordinates of all 5 atoms:
Cu  0.5000  0.5000  0.5000
Sn  0.0000  0.0000  0.0000
O  0.0000  0.0000  0.5000
F  0.0000  0.5000  0.0000
F  0.5000  0.0000  0.0000

ρ: 5.05 g/cm3
symmetry: P4/mmm, No. 123



Of them, the most stable is entry 1 and the least stable is entry 2.



Entry 1
First-principles (PBE-GGA) data for an optimized crystal structure of TaCuOF2, as listed in the Alexandria database.

Cell lengths 4.2082, 4.2082, 3.9048 Å; angles 90.00, 90.00, 90.00 degrees
Fractional coordinates of all 5 atoms:
Ta  0.0000  0.0000  0.0000
O  0.0000  0.0000  0.5000
F  0.5000  0.0000  0.0000
Cu  0.5000  0.5000  0.5000
F  0.0000  0.5000  0.0000

ρ: 7.17 g/cm3
symmetry: P4/mmm, No. 123



Entry 2
First-principles (PBE-GGA) data for an optimized crystal structure of TaCuOF2, as listed in the Alexandria database.

Cell lengths 3.9109, 3.9109, 3.9977 Å; angles 90.00, 90.00, 90.00 degrees
Fractional coordinates of all 5 atoms:
F  0.0000  0.5000  0.0000
Ta  0.5000  0.5000  0.5000
F  0.5000  0.0000  0.0000
Cu  0.0000  0.0000  0.0000
O  0.0000  0.0000  0.5000

ρ: 8.11 g/cm3
symmetry: P4/mmm, No. 123



Of them, the most stable is entry 1 and the least stable is entry 2.



Entry 1
First-principles (PBE-GGA) data for an optimized crystal structure of YCuOF2, as listed in the Alexandria database.

Cell lengths 4.0390, 4.0390, 3.8826 Å; angles 90.00, 90.00, 90.00 degrees
Fractional coordinates of all 5 atoms:
O  0.0000  0.0000  0.5000
Cu  0.0000  0.0000  0.0000
F  0.0000  0.5000  0.0000
F  0.5000  0.0000  0.0000
Y  0.5000  0.5000  0.5000

ρ: 5.41 g/cm3
symmetry: P4/mmm, No. 123



Entry 2
First-principles (PBE-GGA) data for an optimized crystal structure of YCuOF2, as listed in the Alexandria database.

Cell lengths 4.3449, 4.3449, 4.4380 Å; angles 90.00, 90.00, 90.00 degrees
Fractional coordinates of all 5 atoms:
Cu  0.5000  0.5000  0.5000
F  0.0000  0.5000  0.0000
Y  0.0000  0.0000  0.0000
O  0.0000  0.0000  0.5000
F  0.5000  0.0000  0.0000

ρ: 4.09 g/cm3
symmetry: P4/mmm, No. 123



Of them, the most stable is entry 2 and the least stable is entry 1.



Entry 1
First-principles (PBE-GGA) data for an optimized crystal structure of ZrCuOF2, as listed in the Alexandria database.

Cell lengths 4.0013, 4.0013, 3.8513 Å; angles 90.00, 90.00, 90.00 degrees
Fractional coordinates of all 5 atoms:
Zr  0.5000  0.5000  0.5000
O  0.0000  0.0000  0.5000
Cu  0.0000  0.0000  0.0000
F  0.5000  0.0000  0.0000
F  0.0000  0.5000  0.0000

ρ: 5.62 g/cm3
symmetry: P4/mmm, No. 123



Entry 2
First-principles (PBE-GGA) data for an optimized crystal structure of ZrCuOF2, as listed in the Alexandria database.

Cell lengths 4.3002, 4.3002, 4.0576 Å; angles 90.00, 90.00, 90.00 degrees
Fractional coordinates of all 5 atoms:
Cu  0.5000  0.5000  0.5000
O  0.0000  0.0000  0.5000
Zr  0.0000  0.0000  0.0000
F  0.5000  0.0000  0.0000
F  0.0000  0.5000  0.0000

ρ: 4.62 g/cm3
symmetry: P4/mmm, No. 123



Of them, the most stable is entry 2 and the least stable is entry 1.



Entry 1
First-principles (PBE-GGA) data for an optimized crystal structure of CuOs3F, as listed in the Alexandria database.

Cell lengths 4.1775, 4.1775, 4.1775 Å; angles 90.00, 90.00, 90.00 degrees
Fractional coordinates of all 5 atoms:
Cu  0.5000  0.5000  0.5000
Os  0.5000  0.0000  0.0000
F  0.0000  0.0000  0.0000
Os  0.0000  0.0000  0.5000
Os  0.0000  0.5000  0.0000

ρ: 14.88 g/cm3
symmetry: Pm-3m, No. 221



Entry 2
First-principles (PBE-GGA) data for an optimized crystal structure of CuOs3F, as listed in the Alexandria database.

Cell lengths 4.5134, 4.5134, 4.5134 Å; angles 90.00, 90.00, 90.00 degrees
Fractional coordinates of all 5 atoms:
Cu  0.0000  0.0000  0.0000
Os  0.0000  0.5000  0.0000
F  0.5000  0.5000  0.5000
Os  0.5000  0.0000  0.0000
Os  0.0000  0.0000  0.5000

ρ: 11.80 g/cm3
symmetry: Pm-3m, No. 221



Of them, the most stable is entry 1 and the least stable is entry 2.



Entry 1
First-principles (PBE-GGA) data for an optimized crystal structure of CuOsF3, as listed in the Alexandria database.

Cell lengths 4.1491, 4.1491, 4.1491 Å; angles 90.00, 90.00, 90.00 degrees
Fractional coordinates of all 5 atoms:
Cu  0.5000  0.5000  0.5000
F  0.5000  0.0000  0.0000
F  0.0000  0.5000  0.0000
Os  0.0000  0.0000  0.0000
F  0.0000  0.0000  0.5000

ρ: 7.22 g/cm3
symmetry: Pm-3m, No. 221



Entry 2
First-principles (PBE-GGA) data for an optimized crystal structure of CuOsF3, as listed in the Alexandria database.

Cell lengths 4.0603, 4.0603, 4.0603 Å; angles 90.00, 90.00, 90.00 degrees
Fractional coordinates of all 5 atoms:
F  0.5000  0.0000  0.0000
Cu  0.0000  0.0000  0.0000
Os  0.5000  0.5000  0.5000
F  0.0000  0.0000  0.5000
F  0.0000  0.5000  0.0000

ρ: 7.71 g/cm3
symmetry: Pm-3m, No. 221



Of them, the most stable is entry 1 and the least stable is entry 2.



Entry 1
First-principles (PBE-GGA) data for an optimized crystal structure of CuPF3, as listed in the Alexandria database.

Cell lengths 4.0083, 4.0083, 4.0083 Å; angles 90.00, 90.00, 90.00 degrees
Fractional coordinates of all 5 atoms:
P  0.5000  0.5000  0.5000
F  0.5000  0.0000  0.0000
F  0.0000  0.0000  0.5000
F  0.0000  0.5000  0.0000
Cu  0.0000  0.0000  0.0000

ρ: 3.91 g/cm3
symmetry: Pm-3m, No. 221



Entry 2
First-principles (PBE-GGA) data for an optimized crystal structure of CuPF3, as listed in the Alexandria database.

Cell lengths 4.1346, 4.1346, 4.1346 Å; angles 90.00, 90.00, 90.00 degrees
Fractional coordinates of all 5 atoms:
Cu  0.5000  0.5000  0.5000
F  0.0000  0.5000  0.0000
F  0.0000  0.0000  0.5000
P  0.0000  0.0000  0.0000
F  0.5000  0.0000  0.0000

ρ: 3.56 g/cm3
symmetry: Pm-3m, No. 221



Of them, the most stable is entry 2 and the least stable is entry 1.



Entry 1
First-principles (PBE-GGA) data for an optimized crystal structure of CuP2SF, as listed in the Alexandria database.

Cell lengths 4.4902, 4.4902, 4.4138 Å; angles 90.00, 90.00, 90.00 degrees
Fractional coordinates of all 5 atoms:
F  0.5000  0.5000  0.5000
P  0.0000  0.5000  0.0000
P  0.5000  0.0000  0.0000
Cu  0.0000  0.0000  0.0000
S  0.0000  0.0000  0.5000

ρ: 3.29 g/cm3
symmetry: P4/mmm, No. 123



Entry 2
First-principles (PBE-GGA) data for an optimized crystal structure of CuP2SF, as listed in the Alexandria database.

Cell lengths 4.0215, 4.0215, 5.1812 Å; angles 90.00, 90.00, 90.00 degrees
Fractional coordinates of all 5 atoms:
F  0.0000  0.0000  0.0000
S  0.0000  0.0000  0.5000
Cu  0.5000  0.5000  0.5000
P  0.5000  0.0000  0.0000
P  0.0000  0.5000  0.0000

ρ: 3.50 g/cm3
symmetry: P4/mmm, No. 123



Of them, the most stable is entry 1 and the least stable is entry 2.